# 1
First-principles (PBEsol) data for an optimized crystal structure of CoReP2O, as listed in Alexandria via LeMat-Bulk.

Cell and atoms, written as POSCAR:
```
CoReP2O
1.0
4.4834 0.0000 0.0000
0.0000 4.4834 0.0000
0.0000 0.0000 3.2291
Co Re P O
1 1 2 1
direct
0.0000 0.0000 0.0000 Co
0.5000 0.5000 0.5000 Re
0.0000 0.5000 0.0000 P
0.5000 0.0000 0.0000 P
0.0000 0.0000 0.5000 O
```

Crystal system   tetragonal
ΔE_f (raw)   39 kJ per mole of atoms
Calculated volume   12.98 A^3/atom

---

# 2
First-principles (PBEsol) data for an optimized crystal structure of TiNbAuO2, as listed in Alexandria via LeMat-Bulk.

Cell and atoms, written as POSCAR:
```
TiNbAuO2
1.0
3.8865 0.0000 0.0000
0.0000 3.8865 0.0000
0.0000 0.0000 5.4840
Ti Nb Au O
1 1 1 2
direct
0.0000 0.0000 0.0000 Ti
0.5000 0.5000 0.5000 Nb
0.5000 0.5000 0.0000 Au
0.0000 0.5000 0.5000 O
0.5000 0.0000 0.5000 O
```

Crystal system   tetragonal
ΔE_f (raw)   -91 kJ per mole of atoms
Calculated volume   16.57 A^3/atom

---

# 3
First-principles (PBEsol) data for an optimized crystal structure of Cr2CdRu, as listed in Alexandria via LeMat-Bulk.

Cell and atoms, written as POSCAR:
```
Cr2CdRu
1.0
1.4485 -2.2176 0.0000
1.4485 2.2176 0.0000
0.0000 0.0000 8.5949
Cr Cd Ru
2 1 1
direct
0.0000 0.0000 0.0000 Cr
0.5000 0.5000 0.1996 Cr
0.0000 0.0000 0.4803 Cd
0.5000 0.5000 0.7667 Ru
```

Crystal system   orthorhombic
ΔH_f (0 K)   0.37 eV/atom
Calculated volume   13.80 A^3/atom